1.
Compound: K2RbGeAu
Source: Alexandria via LeMat-Bulk
Functional: PBE-GGA
Structure: relaxed

The structure in POSCAR format:
```
K2RbGeAu
1.0
6.603 0.000 0.000
0.000 6.603 0.000
0.000 0.000 4.877
K Rb Ge Au
2 1 1 1
Cartesian
0.000 3.301 0.000
3.301 0.000 0.000
0.000 0.000 2.438
3.301 3.301 2.438
3.301 3.301 0.000
```

Values from the calculation:
Formation energy from the elements ... -61 meV/atom
VASP energy ... -2.273 eV per atom

2.
Compound: KReGe2Au
Source: Alexandria via LeMat-Bulk
Functional: PBE-GGA
Structure: relaxed

The structure in POSCAR format:
```
KReGe2Au
1.0
4.793 0.000 0.000
0.000 4.793 0.000
0.000 0.000 6.410
K Re Ge Au
1 1 2 1
Cartesian
0.000 0.000 0.000
0.000 0.000 3.205
0.000 2.397 3.205
2.397 0.000 3.205
2.397 2.397 0.000
```

Values from the calculation:
Formation energy from the elements ... 652 meV/atom
VASP energy ... -4.559 eV per atom

3.
Compound: KGeAuS3
Source: Alexandria via LeMat-Bulk
Functional: PBE-GGA
Structure: relaxed

The structure in POSCAR format:
```
KGeAuS3
1.0
10.821 0.000 0.000
0.000 11.499 0.000
-6.007 0.000 10.544
K Ge Au S
8 8 8 24
Cartesian
0.224 2.747 1.276
-2.779 3.003 6.548
-0.098 8.446 7.544
2.906 8.803 2.272
1.908 2.696 8.271
4.912 3.054 2.999
7.593 8.497 3.996
4.590 8.752 9.268
0.985 0.047 4.636
-2.018 5.703 9.907
1.108 5.759 4.411
-1.896 11.490 9.683
6.710 0.010 0.861
3.706 5.740 6.132
6.832 5.797 0.636
3.829 11.453 5.908
-0.753 6.782 1.555
-3.757 10.467 6.826
-3.922 6.685 7.151
-0.919 10.565 1.879
5.733 0.935 8.664
8.736 4.815 3.392
8.571 1.032 3.717
5.567 4.717 8.989
-3.975 0.043 10.517
-0.971 5.707 5.246
-2.898 7.572 9.053
0.105 9.677 3.781
-0.216 1.914 4.434
-3.219 3.835 9.706
1.280 5.856 2.190
-1.723 11.393 7.461
3.097 0.317 3.771
0.094 5.433 9.042
-0.512 1.670 10.401
2.491 4.079 5.129
2.323 7.420 5.414
5.326 9.829 0.142
4.720 6.067 1.501
1.717 11.182 6.773
6.537 0.107 3.082
3.534 5.643 8.354
8.033 7.664 0.838
5.030 9.585 6.109
4.709 1.822 6.762
7.712 3.928 1.490
5.785 5.793 5.298
8.789 11.456 0.026
```

Values from the calculation:
Formation energy from raw total energies ... -3.716 eV/f.u.
VASP energy ... -4.182 eV per atom

4.
Compound: KGeAuS3
Source: Alexandria via LeMat-Bulk
Functional: PBE-GGA
Structure: relaxed

The structure in POSCAR format:
```
KGeAuS3
1.0
6.667 -3.626 0.000
6.667 3.626 0.000
-2.915 0.000 7.440
K Ge Au S
2 2 2 6
Cartesian
1.627 0.000 1.466
8.792 0.000 5.974
5.464 0.000 0.913
4.955 0.000 6.526
5.210 1.938 3.720
5.210 -1.938 3.720
4.479 1.891 1.516
5.940 1.891 5.924
2.728 0.000 6.066
7.691 0.000 1.373
4.479 -1.891 1.516
5.940 -1.891 5.924
```

Values from the calculation:
Formation energy from raw total energies ... -3.623 eV/f.u.
VASP energy ... -4.166 eV per atom

5.
Compound: K2Ge2SbAu6
Source: Alexandria via LeMat-Bulk
Functional: PBE-GGA
Structure: relaxed

The structure in POSCAR format:
```
K2Ge2SbAu6
1.0
3.419 1.974 8.845
-3.419 1.974 8.845
0.000 -3.948 8.845
K Ge Sb Au
2 2 1 6
Cartesian
0.000 0.000 5.574
0.000 0.000 20.961
0.000 0.000 12.029
0.000 0.000 14.507
0.000 0.000 0.000
-1.947 -1.124 15.506
0.000 -2.248 11.029
-1.947 1.124 11.029
1.947 -1.124 15.506
0.000 2.248 15.506
1.947 1.124 11.029
```

Values from the calculation:
Formation energy from raw total energies ... -1.372 eV/f.u.
VASP energy ... -3.326 eV per atom

6.
Compound: KGeSbAu3
Source: Alexandria via LeMat-Bulk
Functional: PBE-GGA
Structure: relaxed

The structure in POSCAR format:
```
KGeSbAu3
1.0
3.407 -6.170 0.000
3.407 6.170 0.000
-0.475 0.000 8.182
K Ge Sb Au
2 2 2 6
Cartesian
3.051 3.350 6.136
3.289 -3.350 2.045
3.289 5.369 2.045
3.051 -5.369 6.136
3.289 0.197 2.045
3.051 -0.197 6.136
1.219 0.149 4.048
0.981 -0.149 8.138
3.289 2.881 2.045
3.051 -2.881 6.136
5.359 0.149 0.043
5.121 -0.149 4.134
```

Values from the calculation:
Formation energy from raw total energies ... -1.080 eV/f.u.
VASP energy ... -3.458 eV per atom

7.
Compound: K2GeSbAu6
Source: Alexandria via LeMat-Bulk
Functional: PBE-GGA
Structure: relaxed

The structure in POSCAR format:
```
K2GeSbAu6
1.0
5.179 -5.250 0.000
5.179 5.250 0.000
-5.157 0.000 5.245
K Ge Sb Au
2 1 1 6
Cartesian
5.179 2.625 0.000
5.179 -2.625 0.000
-2.578 0.000 2.622
2.600 0.000 2.622
-0.084 0.000 2.622
-2.567 0.000 5.149
2.600 2.721 2.622
2.600 -2.721 2.622
7.768 0.000 0.096
5.285 0.000 2.623
```

Values from the calculation:
Formation energy from raw total energies ... -1.508 eV/f.u.
VASP energy ... -3.211 eV per atom

8.
Compound: K2ScGeAu
Source: Alexandria via LeMat-Bulk
Functional: PBE-GGA
Structure: relaxed

The structure in POSCAR format:
```
K2ScGeAu
1.0
6.541 0.000 0.000
0.000 6.541 0.000
0.000 0.000 4.718
K Sc Ge Au
2 1 1 1
Cartesian
0.000 3.270 0.000
3.270 0.000 0.000
0.000 0.000 2.359
3.270 3.270 0.000
3.270 3.270 2.359
```

Values from the calculation:
Formation energy from the elements ... 524 meV/atom
VASP energy ... -2.761 eV per atom

9.
Compound: KGeAu2Se4
Source: Alexandria via LeMat-Bulk
Functional: PBE-GGA
Structure: relaxed

The structure in POSCAR format:
```
KGeAu2Se4
1.0
-3.467 3.646 4.344
3.467 -3.646 4.344
3.467 3.646 -4.344
K Ge Au Se
1 1 2 4
Cartesian
0.000 0.000 0.000
0.000 0.000 4.344
3.467 0.000 2.900
0.000 3.646 1.443
2.077 2.235 -1.362
1.390 -1.411 5.706
1.390 1.411 2.981
2.077 5.056 1.362
```

Values from the calculation:
Formation energy from raw total energies ... -3.105 eV/f.u.
VASP energy ... -3.664 eV per atom

10.
Compound: K2SiGeAu6
Source: Alexandria via LeMat-Bulk
Functional: PBE-GGA
Structure: relaxed

The structure in POSCAR format:
```
K2SiGeAu6
1.0
6.817 0.000 0.000
3.367 5.946 0.000
3.383 1.961 5.964
K Si Ge Au
2 1 1 6
Cartesian
3.374 1.942 2.151
10.193 5.966 3.813
0.000 0.000 0.000
6.783 3.954 2.982
5.287 3.104 4.925
6.783 5.654 4.958
5.273 4.772 1.027
8.294 3.136 4.937
6.784 2.253 1.006
8.280 4.803 1.039
```

Values from the calculation:
Formation energy from raw total energies ... -2.346 eV/f.u.
VASP energy ... -3.425 eV per atom

11.
Compound: KSn2Ge2Au6
Source: Alexandria via LeMat-Bulk
Functional: PBE-GGA
Structure: relaxed

The structure in POSCAR format:
```
KSn2Ge2Au6
1.0
4.744 0.000 0.000
2.117 6.317 0.000
1.109 1.797 8.354
K Sn Ge Au
1 2 2 6
Cartesian
0.000 0.000 0.000
1.987 2.422 1.978
5.983 5.692 6.375
2.898 2.702 5.608
5.072 5.413 2.746
2.755 4.686 3.550
3.666 6.872 5.189
3.607 4.279 7.533
4.363 3.836 0.821
4.305 1.243 3.165
5.216 3.429 4.804
```

Values from the calculation:
Formation energy from the elements ... -143 meV/atom
VASP energy ... -3.598 eV per atom

12.
Compound: K2GeTeAu
Source: Alexandria via LeMat-Bulk
Functional: PBE-GGA
Structure: relaxed

The structure in POSCAR format:
```
K2GeTeAu
1.0
6.531 0.000 0.000
0.000 6.531 0.000
0.000 0.000 5.188
K Ge Te Au
2 1 1 1
Cartesian
0.000 3.266 0.000
3.266 0.000 0.000
0.000 0.000 2.594
3.266 3.266 2.594
3.266 3.266 0.000
```

Values from the calculation:
Formation energy from raw total energies ... 0.550 eV/f.u.
VASP energy ... -2.536 eV per atom

13.
Compound: KGeTe3Au
Source: Alexandria via LeMat-Bulk
Functional: PBE-GGA
Structure: relaxed

The structure in POSCAR format:
```
KGeTe3Au
1.0
9.018 0.000 0.000
0.000 4.131 0.000
-3.826 0.000 11.123
K Ge Te Au
2 2 6 2
Cartesian
-0.428 1.033 2.912
5.620 3.099 8.211
3.413 3.099 0.013
1.779 1.033 11.110
-0.836 1.033 6.485
-2.265 1.033 11.002
3.041 3.099 2.743
2.151 1.033 8.381
7.457 3.099 0.122
6.028 3.099 4.639
0.624 3.099 7.488
4.569 1.033 3.636
```

Values from the calculation:
Formation energy from raw total energies ... -2.172 eV/f.u.
VASP energy ... -3.432 eV per atom

14.
Compound: KTlGeAu2
Source: Alexandria via LeMat-Bulk
Functional: PBE-GGA
Structure: relaxed

The structure in POSCAR format:
```
KTlGeAu2
1.0
5.093 0.000 0.000
0.000 5.093 0.000
0.000 0.000 5.580
K Tl Ge Au
1 1 1 2
Cartesian
0.000 0.000 0.000
2.547 2.547 0.000
2.547 2.547 2.790
0.000 2.547 2.790
2.547 0.000 2.790
```

Values from the calculation:
Formation energy from the elements ... -26 meV/atom
VASP energy ... -2.953 eV per atom

15.
Compound: KTl2GeAu2
Source: Alexandria via LeMat-Bulk
Functional: PBE-GGA
Structure: relaxed

The structure in POSCAR format:
```
KTl2GeAu2
1.0
4.639 0.000 0.000
0.000 8.002 0.000
0.000 0.000 8.929
K Tl Ge Au
2 4 2 4
Cartesian
0.000 1.137 0.000
0.000 6.864 4.464
0.000 2.903 5.925
0.000 5.099 1.461
2.320 3.897 8.140
2.320 4.105 3.675
2.320 1.044 3.201
2.320 6.958 7.666
0.000 2.200 3.027
0.000 5.802 7.491
2.320 0.827 5.863
2.320 7.175 1.398
```

Values from the calculation:
Formation energy from the elements ... -133 meV/atom
VASP energy ... -2.967 eV per atom

16.
Compound: K2ZnGeAu6
Source: Alexandria via LeMat-Bulk
Functional: PBE-GGA
Structure: relaxed

The structure in POSCAR format:
```
K2ZnGeAu6
1.0
6.975 0.000 0.000
3.473 6.051 0.000
3.446 2.011 5.910
K Zn Ge Au
2 1 1 6
Cartesian
3.473 2.014 2.236
10.421 6.048 3.674
6.947 4.031 2.955
0.000 0.000 0.000
6.918 5.663 5.021
5.526 3.219 5.035
5.548 4.849 0.886
8.346 3.213 5.024
8.368 4.844 0.875
6.976 2.399 0.889
```

Values from the calculation:
Formation energy from the elements ... -236 meV/atom
VASP energy ... -3.011 eV per atom

17.
Compound: K2ZnGeAu
Source: Alexandria via LeMat-Bulk
Functional: PBE-GGA
Structure: relaxed

The structure in POSCAR format:
```
K2ZnGeAu
1.0
6.473 0.000 0.000
0.000 6.473 0.000
0.000 0.000 4.740
K Zn Ge Au
2 1 1 1
Cartesian
0.000 3.236 0.000
3.236 0.000 0.000
0.000 0.000 2.370
3.236 3.236 2.370
3.236 3.236 0.000
```

Values from the calculation:
Formation energy from the elements ... 51 meV/atom
VASP energy ... -2.222 eV per atom

18.
Compound: KZn2GeAu
Source: Alexandria via LeMat-Bulk
Functional: PBE-GGA
Structure: relaxed

The structure in POSCAR format:
```
KZn2GeAu
1.0
5.032 0.000 0.000
0.000 5.032 0.000
0.000 0.000 5.149
K Zn Ge Au
1 2 1 1
Cartesian
0.000 0.000 0.000
0.000 2.516 2.575
2.516 0.000 2.575
2.516 2.516 0.000
2.516 2.516 2.575
```

Values from the calculation:
Formation energy from the elements ... 104 meV/atom
VASP energy ... -2.204 eV per atom

19.
Compound: La3Ge3Au8
Source: Alexandria via LeMat-Bulk
Functional: PBE-GGA
Structure: relaxed

The structure in POSCAR format:
```
La3Ge3Au8
1.0
8.224 -2.355 0.000
8.224 2.355 0.000
-4.874 0.000 7.868
La Ge Au
3 3 8
Cartesian
0.000 0.000 0.000
3.496 0.000 2.292
8.078 0.000 5.576
-2.437 0.000 3.934
2.120 0.000 5.404
9.454 0.000 2.464
-1.952 0.000 6.620
0.303 0.000 3.309
0.961 0.000 7.663
4.807 0.000 5.345
6.767 0.000 2.524
10.613 0.000 0.206
11.271 0.000 4.559
13.526 0.000 1.249
```

Values from the calculation:
Formation energy from the elements ... -623 meV/atom
VASP energy ... -4.541 eV per atom

20.
Compound: LaGeAu4
Source: Alexandria via LeMat-Bulk
Functional: PBE-GGA
Structure: relaxed

The structure in POSCAR format:
```
LaGeAu4
1.0
2.582 -7.132 0.000
2.582 7.132 0.000
0.000 0.000 7.262
La Ge Au
2 2 8
Cartesian
2.582 5.492 5.447
2.582 -5.492 1.816
2.582 1.863 5.447
2.582 -1.863 1.816
2.582 5.721 1.816
2.582 3.040 0.452
2.582 3.040 3.179
2.582 0.000 0.000
2.582 0.000 3.631
2.582 -3.040 4.083
2.582 -3.040 6.811
2.582 -5.721 5.447
```

Values from the calculation:
Formation energy from the elements ... -403 meV/atom
VASP energy ... -4.178 eV per atom